VASP calculation (PBE-GGA) on Mn4GaOs after structural relaxation.

N(E_F) = 6.1 states/eV/f.u.
Size of the total moment = 0.081 μB/atom
Energy of formation from the pure elements = 0.130 eV per atom
Total energy = -50.16 eV per cell
Symmetry = F-43m, No. 216

a b c (Å): 4.669 4.669 4.669
angles (deg): 60.00 60.00 60.00
Positions (direct):
Mn 0.123 0.123 0.123
Mn 0.123 0.123 0.630
Mn 0.123 0.630 0.123
Mn 0.630 0.123 0.123
Ga 0.750 0.750 0.750
Os 0.500 0.500 0.500

VASP calculation (PBE-GGA) on Mn2GaOs after structural relaxation.

N(E_F) = 3.3 states/eV/f.u.
Size of the total moment = 0.747 μB/atom
Energy of formation from the pure elements = -0.031 eV per atom
Total energy = -32.72 eV per cell
Symmetry = P4/mmm, No. 123

a b c (Å): 2.683 2.683 7.207
angles (deg): 90.00 90.00 90.00
Positions (direct):
Mn 0.000 0.000 0.245
Mn 0.000 0.000 0.755
Ga 0.500 0.500 0.500
Os 0.500 0.500 0.000

VASP calculation (PBE-GGA) on PaMnGaOs after structural relaxation.

N(E_F) = 4.8 states/eV/f.u.
Size of the total moment = 0.161 μB/atom
Energy of formation from the pure elements = -0.085 eV per atom
Total energy = -133.05 eV per cell
Symmetry = F-43m, No. 216

a b c (Å): 6.454 6.454 6.454
angles (deg): 90.00 90.00 90.00
Positions (direct):
Pa 0.000 0.000 0.000
Pa 0.000 0.500 0.500
Pa 0.500 0.000 0.500
Pa 0.500 0.500 0.000
Mn 0.250 0.250 0.750
Mn 0.250 0.750 0.250
Mn 0.750 0.250 0.250
Mn 0.750 0.750 0.750
Ga 0.000 0.000 0.500
Ga 0.000 0.500 0.000
Ga 0.500 0.000 0.000
Ga 0.500 0.500 0.500
Os 0.250 0.250 0.250
Os 0.250 0.750 0.750
Os 0.750 0.250 0.750
Os 0.750 0.750 0.250

VASP calculation (PBE-GGA) on MnGaOsPt after structural relaxation.

N(E_F) = 2.7 states/eV/f.u.
Size of the total moment = 1.007 μB/atom
Energy of formation from the pure elements = -0.173 eV per atom
Total energy = -120.63 eV per cell
Symmetry = F-43m, No. 216

a b c (Å): 6.119 6.119 6.119
angles (deg): 90.00 90.00 90.00
Positions (direct):
Mn 0.000 0.000 0.000
Mn 0.000 0.500 0.500
Mn 0.500 0.000 0.500
Mn 0.500 0.500 0.000
Ga 0.000 0.000 0.500
Ga 0.000 0.500 0.000
Ga 0.500 0.000 0.000
Ga 0.500 0.500 0.500
Os 0.250 0.250 0.250
Os 0.250 0.750 0.750
Os 0.750 0.250 0.750
Os 0.750 0.750 0.250
Pt 0.250 0.250 0.750
Pt 0.250 0.750 0.250
Pt 0.750 0.250 0.250
Pt 0.750 0.750 0.750

What is the total energy in the fourth record? -120.63 eV per cell

The highest size of the total moment belongs to which entry? MnGaOsPt